No. 1
# Er8SiSb2 (PBE, optimized geometry)
data_Er8SiSb2
_chemical_formula_sum 'Er8 Si1 Sb2'
_cell_length_a 4.2019
_cell_length_b 8.3075
_cell_length_c 9.2414
_cell_angle_alpha 93.82
_cell_angle_beta 103.14
_cell_angle_gamma 90.00
_space_group_name_H-M_alt 'P 1'
_space_group_IT_number 1
_space_group_name_Hall 'P 1'
loop_
_atom_site_label
_atom_site_type_symbol
_atom_site_fract_x
_atom_site_fract_y
_atom_site_fract_z
Er1 Er 0.0105 0.2264 0.0211
Er2 Er 0.6564 0.0283 0.3128
Er3 Er 0.7919 0.6364 0.5838
Er4 Er 0.4068 0.4576 0.8136
Er5 Er 0.3436 0.9717 0.6872
Er6 Er 0.9895 0.7736 0.9789
Er7 Er 0.5932 0.5424 0.1864
Er8 Er 0.2081 0.3636 0.4162
Si1 Si 0.5000 0.0000 0.0000
Sb1 Sb 0.1795 0.7642 0.3590
Sb2 Sb 0.8205 0.2358 0.6410
# Space group   C2/m (12)
# ΔE_f (raw)   -0.47 eV per atom
# Uncorrected energy   -55.352 eV/f.u.
# Total moment   0.734 Bohr magnetons per cell

=====

No. 2
# AlNiB (PBE, optimized geometry)
data_AlNiB
_chemical_formula_sum 'Al2 Ni2 B2'
_cell_length_a 2.9854
_cell_length_b 3.1640
_cell_length_c 6.6942
_cell_angle_alpha 76.33
_cell_angle_beta 90.00
_cell_angle_gamma 90.00
_space_group_name_H-M_alt 'P 1'
_space_group_IT_number 1
_space_group_name_Hall 'P 1'
loop_
_atom_site_label
_atom_site_type_symbol
_atom_site_fract_x
_atom_site_fract_y
_atom_site_fract_z
Al1 Al 0.2500 0.8948 0.2103
Al2 Al 0.7500 0.1052 0.7897
B1 B 0.7500 0.4678 0.0644
B2 B 0.2500 0.5322 0.9356
Ni1 Ni 0.2500 0.6948 0.6104
Ni2 Ni 0.7500 0.3052 0.3896
# Space group   Cmcm (63)
# Uncorrected energy   -16.897 eV/f.u.
# Calculated formation energy   -0.23 eV/atom
# Total moment   0.000 Bohr magnetons per cell

=====

No. 3
# CuNiIr2Pd (PBE, optimized geometry)
data_CuNiIr2Pd
_chemical_formula_sum 'Cu1 Ni1 Ir2 Pd1'
_cell_length_a 4.7492
_cell_length_b 4.5203
_cell_length_c 4.7492
_cell_angle_alpha 90.00
_cell_angle_beta 90.00
_cell_angle_gamma 90.00
_space_group_name_H-M_alt 'P 1'
_space_group_IT_number 1
_space_group_name_Hall 'P 1'
loop_
_atom_site_label
_atom_site_type_symbol
_atom_site_fract_x
_atom_site_fract_y
_atom_site_fract_z
Ir1 Ir 0.5000 0.0000 0.0000
Ir2 Ir 0.0000 0.0000 0.5000
Pd1 Pd 0.0000 0.0000 0.0000
Ni1 Ni 0.5000 0.5000 0.5000
Cu1 Cu 0.0000 0.5000 0.0000
# Space group   P4/mmm (123)
# Uncorrected energy   -22.897 eV/f.u.
# Calculated formation energy   1.98 eV/atom
# Total moment   3.421 Bohr magnetons per cell